# TlBi2SbO8 (PBE, optimized geometry)
data_TlBi2SbO8
_chemical_formula_sum 'Tl1 Bi2 Sb1 O8'
_symmetry_space_group_name_H-M 'P 1 2/m 1'
_symmetry_Int_Tables_number 10
_cell_length_a 5.0167
_cell_length_b 7.0092
_cell_length_c 5.0205
_cell_angle_alpha 90.00
_cell_angle_beta 90.52
_cell_angle_gamma 90.00
loop_
_symmetry_equiv_pos_as_xyz
'x,y,z'
'-x,-y,-z'
'-x,y,-z'
'x,-y,z'
loop_
_atom_site_label
_atom_site_type_symbol
_atom_site_fract_x
_atom_site_fract_y
_atom_site_fract_z
Tl1 Tl 0.0000 0.0000 0.0000
Bi1 Bi 0.5000 0.2552 0.5000
Sb1 Sb 0.0000 0.5000 0.0000
O1 O 0.1861 0.2806 0.8161
O2 O 0.2884 0.5000 0.2907
O3 O 0.3110 0.0000 0.3127
# **Energy relative to the elements, uncorrected**: -1.03 eV per atom